## Sr2AcNp3N8 (GGA-PBE)

Data for Sr2AcNp3N8 after structural relaxation.

CIF file:
```
data_Sr2AcNp3N8
_symmetry_space_group_name_H-M 'P 1'
_symmetry_Int_Tables_number 1
_cell_length_a 7.0040
_cell_length_b 7.0040
_cell_length_c 7.1369
_cell_angle_alpha 60.61
_cell_angle_beta 60.61
_cell_angle_gamma 60.00
loop_
_symmetry_equiv_pos_as_xyz
'x,y,z'
loop_
_atom_site_label
_atom_site_fract_x
_atom_site_fract_y
_atom_site_fract_z
Ac1 0.8858 0.8858 0.3427
N1 0.2717 0.2717 0.1850
Sr1 0.4989 0.4989 0.5033
Np1 0.0011 0.4993 0.0004
N2 0.7489 0.7489 0.1855
Np2 0.4993 0.0011 0.0004
Sr2 0.1168 0.1168 0.6495
N3 0.7489 0.3168 0.1855
Np3 0.4993 0.4993 0.0004
N4 0.3168 0.7489 0.1855
N5 0.2488 0.2488 0.8240
N6 0.7294 0.7294 0.8119
N7 0.2488 0.6783 0.8240
N8 0.6783 0.2488 0.8240
```

Results
Size of the total moment   4.00 μB per formula unit
Formation energy from raw total energies   -1431 kJ/mol of formula units
E_tot   -9.123 eV/atom

***

## Ac2NpTaN6 (GGA-PBE)

Data for Ac2NpTaN6 after structural relaxation.

CIF file:
```
data_Ac2NpTaN6
_symmetry_space_group_name_H-M 'P 1'
_symmetry_Int_Tables_number 1
_cell_length_a 5.9456
_cell_length_b 5.9647
_cell_length_c 8.3801
_cell_angle_alpha 90.00
_cell_angle_beta 90.00
_cell_angle_gamma 90.00
loop_
_symmetry_equiv_pos_as_xyz
'x,y,z'
loop_
_atom_site_label
_atom_site_fract_x
_atom_site_fract_y
_atom_site_fract_z
N1 0.2477 0.4896 0.0000
Ac1 0.0000 0.2348 0.2502
N2 0.7520 0.0123 0.5000
N3 0.7480 0.9877 0.0000
N4 0.2523 0.5104 0.5000
Ac2 0.5000 0.7652 0.2498
N5 0.7477 0.5104 0.5000
Ta1 0.0000 0.7353 0.5000
N6 0.7523 0.4896 0.0000
Ac3 0.0000 0.2348 0.7498
Np1 0.0000 0.7504 0.0000
N7 0.5000 0.2269 0.7545
N8 0.0000 0.7731 0.2545
N9 0.5000 0.2269 0.2455
Np2 0.5000 0.2496 0.5000
Ta2 0.5000 0.2647 0.0000
N10 0.0000 0.7731 0.7455
N11 0.2480 0.0123 0.5000
Ac4 0.5000 0.7652 0.7502
N12 0.2520 0.9877 0.0000
```

Results
Size of the total moment   0.03 μB per formula unit
Formation energy from raw total energies   -1129 kJ/mol of formula units
E_tot   -9.466 eV/atom

***

## Ac3Tb2NpN6 (GGA-PBE)

Data for Ac3Tb2NpN6 after structural relaxation.

CIF file:
```
data_Ac3Tb2NpN6
_symmetry_space_group_name_H-M 'P 1'
_symmetry_Int_Tables_number 1
_cell_length_a 6.2385
_cell_length_b 6.2385
_cell_length_c 6.4829
_cell_angle_alpha 99.25
_cell_angle_beta 99.25
_cell_angle_gamma 119.87
loop_
_symmetry_equiv_pos_as_xyz
'x,y,z'
loop_
_atom_site_label
_atom_site_fract_x
_atom_site_fract_y
_atom_site_fract_z
Tb1 0.3338 0.6662 0.0000
N1 0.2368 0.2368 0.7895
Ac1 0.1694 0.8306 0.5000
N2 0.6295 0.9326 0.7989
N3 0.7632 0.7632 0.2105
N4 0.0674 0.3705 0.2011
Ac2 0.8306 0.1694 0.5000
Np1 0.0000 0.0000 0.0000
Ac3 0.5000 0.5000 0.5000
N5 0.3705 0.0674 0.2011
Tb2 0.6662 0.3338 0.0000
N6 0.9326 0.6295 0.7989
```

Results
Size of the total moment   1.61 μB per formula unit
Formation energy from raw total energies   -1445 kJ/mol of formula units
E_tot   -8.288 eV/atom

***

## Ac2NpTcN6 (GGA-PBE)

Data for Ac2NpTcN6 after structural relaxation.

CIF file:
```
data_Ac2NpTcN6
_symmetry_space_group_name_H-M 'P 1'
_symmetry_Int_Tables_number 1
_cell_length_a 5.9182
_cell_length_b 5.8187
_cell_length_c 5.8595
_cell_angle_alpha 119.77
_cell_angle_beta 120.48
_cell_angle_gamma 90.00
loop_
_symmetry_equiv_pos_as_xyz
'x,y,z'
loop_
_atom_site_label
_atom_site_fract_x
_atom_site_fract_y
_atom_site_fract_z
Ac1 0.2494 0.2516 0.5032
N1 0.2269 0.2205 0.9446
Tc1 0.5000 0.0000 0.0000
N2 0.2269 0.7241 0.9446
N3 0.7731 0.7795 0.0554
Np1 0.0000 0.5000 0.0000
Ac2 0.7506 0.7484 0.4968
N4 0.3089 0.7554 0.5107
N5 0.6911 0.2446 0.4893
N6 0.7731 0.2759 0.0554
```

Results
Size of the total moment   0.00 μB per formula unit
Formation energy from raw total energies   -818 kJ/mol of formula units
E_tot   -8.996 eV/atom

***

## Ac2NpTc2N6 (GGA-PBE)

Data for Ac2NpTc2N6 after structural relaxation.

CIF file:
```
data_Ac2NpTc2N6
_symmetry_space_group_name_H-M 'P 1'
_symmetry_Int_Tables_number 1
_cell_length_a 5.8506
_cell_length_b 5.8506
_cell_length_c 6.9195
_cell_angle_alpha 64.99
_cell_angle_beta 64.99
_cell_angle_gamma 60.00
loop_
_symmetry_equiv_pos_as_xyz
'x,y,z'
loop_
_atom_site_label
_atom_site_fract_x
_atom_site_fract_y
_atom_site_fract_z
Np1 0.0000 0.0000 0.0000
N1 0.7512 0.7512 0.2692
N2 0.2284 0.7512 0.2692
Ac1 0.7877 0.7877 0.6369
Tc1 0.6038 0.6038 0.1886
Ac2 0.2123 0.2123 0.3631
N3 0.7716 0.2488 0.7308
N4 0.2488 0.7716 0.7308
N5 0.2488 0.2488 0.7308
N6 0.7512 0.2284 0.2692
Tc2 0.3962 0.3962 0.8114
```

Results
Size of the total moment   3.03 μB per formula unit
Formation energy from raw total energies   -693 kJ/mol of formula units
E_tot   -9.002 eV/atom

***

## AcNpTe2N (GGA-PBE)

Data for AcNpTe2N after structural relaxation.

CIF file:
```
data_AcNpTe2N
_symmetry_space_group_name_H-M 'P 1'
_symmetry_Int_Tables_number 1
_cell_length_a 4.1613
_cell_length_b 4.1613
_cell_length_c 17.1852
_cell_angle_alpha 90.00
_cell_angle_beta 90.00
_cell_angle_gamma 90.00
loop_
_symmetry_equiv_pos_as_xyz
'x,y,z'
loop_
_atom_site_label
_atom_site_fract_x
_atom_site_fract_y
_atom_site_fract_z
N1 0.5000 0.5000 0.5000
Ac1 0.0000 0.5000 0.8468
Ac2 0.5000 0.0000 0.1532
Np1 0.5000 0.0000 0.5581
Te1 0.0000 0.5000 0.6619
Te2 0.5000 0.0000 0.9233
Te3 0.0000 0.5000 0.0767
N2 0.0000 0.0000 0.5000
Np2 0.0000 0.5000 0.4419
Te4 0.5000 0.0000 0.3381
```

Results
Size of the total moment   2.80 μB per formula unit
Formation energy from raw total energies   -551 kJ/mol of formula units
E_tot   -7.474 eV/atom

***

## AcThNpN3 (GGA-PBE)

Data for AcThNpN3 after structural relaxation.

CIF file:
```
data_AcThNpN3
_symmetry_space_group_name_H-M 'P 1'
_symmetry_Int_Tables_number 1
_cell_length_a 3.8111
_cell_length_b 7.5629
_cell_length_c 8.7667
_cell_angle_alpha 98.33
_cell_angle_beta 90.00
_cell_angle_gamma 90.00
loop_
_symmetry_equiv_pos_as_xyz
'x,y,z'
loop_
_atom_site_label
_atom_site_fract_x
_atom_site_fract_y
_atom_site_fract_z
Th1 0.7500 0.3595 0.8443
Np1 0.7500 0.9436 0.4251
N1 0.7500 0.4164 0.1170
Ac1 0.2500 0.1614 0.1516
N2 0.7500 0.2127 0.5801
N3 0.2500 0.7873 0.4199
Th2 0.2500 0.6405 0.1557
N4 0.7500 0.8832 0.1551
Np2 0.2500 0.0564 0.5749
N5 0.2500 0.1168 0.8449
Ac2 0.7500 0.8386 0.8484
N6 0.2500 0.5836 0.8830
```

Results
Size of the total moment   0.46 μB per formula unit
Formation energy from raw total energies   -574 kJ/mol of formula units
E_tot   -9.232 eV/atom

***

## Ac3Th2NpN6 (GGA-PBE)

Data for Ac3Th2NpN6 after structural relaxation.

CIF file:
```
data_Ac3Th2NpN6
_symmetry_space_group_name_H-M 'P 1'
_symmetry_Int_Tables_number 1
_cell_length_a 6.4031
_cell_length_b 6.4031
_cell_length_c 6.5427
_cell_angle_alpha 99.42
_cell_angle_beta 99.42
_cell_angle_gamma 119.93
loop_
_symmetry_equiv_pos_as_xyz
'x,y,z'
loop_
_atom_site_label
_atom_site_fract_x
_atom_site_fract_y
_atom_site_fract_z
N1 0.2471 0.2471 0.7934
N2 0.0661 0.3754 0.1967
N3 0.9339 0.6246 0.8033
Ac1 0.5000 0.5000 0.5000
N4 0.6246 0.9339 0.8033
N5 0.7529 0.7529 0.2066
N6 0.3754 0.0661 0.1967
Th1 0.3336 0.6664 0.0000
Ac2 0.8347 0.1653 0.5000
Ac3 0.1653 0.8347 0.5000
Th2 0.6664 0.3336 0.0000
Np1 0.0000 0.0000 0.0000
```

Results
Size of the total moment   2.22 μB per formula unit
Formation energy from raw total energies   -1458 kJ/mol of formula units
E_tot   -8.764 eV/atom

***

## Ac4Th3NpN8 (GGA-PBE)

Data for Ac4Th3NpN8 after structural relaxation.

CIF file:
```
data_Ac4Th3NpN8
_symmetry_space_group_name_H-M 'P 1'
_symmetry_Int_Tables_number 1
_cell_length_a 7.4332
_cell_length_b 7.5395
_cell_length_c 7.4332
_cell_angle_alpha 119.54
_cell_angle_beta 120.00
_cell_angle_gamma 90.00
loop_
_symmetry_equiv_pos_as_xyz
'x,y,z'
loop_
_atom_site_label
_atom_site_fract_x
_atom_site_fract_y
_atom_site_fract_z
Ac1 0.5000 0.0000 0.0000
Np1 0.0000 0.5000 0.0000
Ac2 0.5000 0.0000 0.5000
Th1 0.0000 0.5000 0.5000
N1 0.2476 0.2962 0.0219
N2 0.7524 0.7038 0.9781
Th2 0.5000 0.5000 0.5000
N3 0.7743 0.2962 0.0219
N4 0.2257 0.7038 0.4514
Th3 0.5000 0.5000 0.0000
N5 0.7743 0.2962 0.5486
N6 0.7373 0.7119 0.4746
Ac3 0.0000 0.0000 0.0000
N7 0.2257 0.7038 0.9781
Ac4 0.0000 0.0000 0.5000
N8 0.2627 0.2881 0.5254
```

Results
Size of the total moment   2.98 μB per formula unit
Formation energy from raw total energies   -1985 kJ/mol of formula units
E_tot   -8.676 eV/atom

***

## Ac2ThNpN5 (GGA-PBE)

Data for Ac2ThNpN5 after structural relaxation.

CIF file:
```
data_Ac2ThNpN5
_symmetry_space_group_name_H-M 'P 1'
_symmetry_Int_Tables_number 1
_cell_length_a 4.1555
_cell_length_b 4.1555
_cell_length_c 9.3286
_cell_angle_alpha 90.00
_cell_angle_beta 90.00
_cell_angle_gamma 90.00
loop_
_symmetry_equiv_pos_as_xyz
'x,y,z'
loop_
_atom_site_label
_atom_site_fract_x
_atom_site_fract_y
_atom_site_fract_z
N1 0.5000 0.0000 0.5000
Th1 0.0000 0.0000 0.0000
Ac1 0.5000 0.5000 0.2776
Ac2 0.5000 0.5000 0.7224
N2 0.0000 0.0000 0.2456
N3 0.0000 0.0000 0.7544
Np1 0.0000 0.0000 0.5000
N4 0.0000 0.5000 0.5000
N5 0.5000 0.5000 0.0000
```

Results
Size of the total moment   1.62 μB per formula unit
Formation energy from raw total energies   -1046 kJ/mol of formula units
E_tot   -9.005 eV/atom